## Ho2Tm3Ge4 (PBE)

Data for a relaxed structure of Ho2Tm3Ge4.

Density in g/cm3: 8.894
Formation energy in meV/atom: -865

a = 7.8699 Å, b = 7.6974 Å, c = 7.5164 Å
α = 90.00°, β = 112.42°, γ = 90.00°
Space group P2_1/c (No. 14)
Inequivalent atoms, fractional coordinates:
Ho (0.1990, 0.1793, 0.0591) (multiplicity 4)
Tm (0.2383, 0.6623, 0.2278) (multiplicity 4)
Tm (0.5000, 0.0000, 0.5000) (multiplicity 2)
Ge (0.0875, 0.5351, 0.8232) (multiplicity 4)
Ge (0.4906, 0.1337, 0.8676) (multiplicity 4)

---

## MgScP2Cl (PBE)

Data for a relaxed structure of MgScP2Cl.

Density in g/cm3: 2.549
Formation energy from raw total energies in eV/atom: -0.07
Relative energy among the computed polymorphs in meV per atom: 209

a = 4.7846 Å, b = 4.7846 Å, c = 4.7425 Å
α = 90.00°, β = 90.00°, γ = 90.00°
Space group P4/mmm (No. 123)
Inequivalent atoms, fractional coordinates:
Mg (0.0000, 0.0000, 0.0000) (multiplicity 1)
Sc (0.5000, 0.5000, 0.5000) (multiplicity 1)
P (0.0000, 0.5000, 0.0000) (multiplicity 2)
Cl (0.0000, 0.0000, 0.5000) (multiplicity 1)

---

## BaMgZnPt2 (PBE)

Data for a relaxed structure of BaMgZnPt2.

Density in g/cm3: 9.190
Formation energy in meV/atom: -712

a = 4.3755 Å, b = 4.3755 Å, c = 11.6499 Å
α = 90.00°, β = 90.00°, γ = 90.00°
Space group I-4m2 (No. 119)
Inequivalent atoms, fractional coordinates:
Ba (0.0000, 0.0000, 0.0000) (multiplicity 2)
Mg (0.0000, 0.5000, 0.2500) (multiplicity 2)
Zn (0.0000, 0.5000, 0.7500) (multiplicity 2)
Pt (0.0000, 0.0000, 0.3820) (multiplicity 4)

---

## Pr3DyAs4 (PBE)

Data for a relaxed structure of Pr3DyAs4.

Density in g/cm3: 6.706
Formation energy in meV/atom: -1494
Relative energy among the computed polymorphs in meV per atom: 5

a = 6.0289 Å, b = 6.0289 Å, c = 6.0289 Å
α = 90.00°, β = 90.00°, γ = 90.00°
Space group Pm-3m (No. 221)
Inequivalent atoms, fractional coordinates:
Pr (0.0000, 0.0000, 0.5000) (multiplicity 3)
Dy (0.5000, 0.5000, 0.5000) (multiplicity 1)
As (0.0000, 0.0000, 0.0000) (multiplicity 1)
As (0.0000, 0.5000, 0.5000) (multiplicity 3)

---

## YGa2Ir (PBE)

Data for a relaxed structure of YGa2Ir.

Density in g/cm3: 9.105
Formation energy in meV/atom: -665

a = 4.2362 Å, b = 4.2362 Å, c = 14.8065 Å
α = 90.00°, β = 90.00°, γ = 120.00°
Space group R-3m (No. 166, hexagonal axes)
Inequivalent atoms, fractional coordinates:
Y (0.0000, 0.0000, 0.0000) (multiplicity 3)
Ga (0.0000, 0.0000, 0.2169) (multiplicity 6)
Ir (0.0000, 0.0000, 0.5000) (multiplicity 3)

---

## TaRhW2 (PBE)

Data for a relaxed structure of TaRhW2.

Density in g/cm3: 16.742
Formation energy in meV/atom: -33
Relative energy among the computed polymorphs in meV per atom: 63

a = 5.4539 Å, b = 9.1118 Å, c = 2.7547 Å
α = 90.00°, β = 109.24°, γ = 90.00°
Space group C2/m (No. 12)
Inequivalent atoms, fractional coordinates:
Ta (0.0000, 0.0000, 0.0000) (multiplicity 2)
Rh (0.0000, 0.5000, 0.0000) (multiplicity 2)
W (0.2500, 0.2500, 0.5000) (multiplicity 4)

---

In order of appearance, total energy = -5.43, -4.19, -4.09, -6.19, -6.01, -11.31 eV per atom.
In order of appearance, DOS(E_F) = 8.75, 1.54, 3.82, 0.79, 8.80, 7.44 states/eV per cell.